A relaxed Y12Ho5Mg crystal, computed with PBE.

Cell and atoms, written as extended XYZ:
```
18
Lattice="5.348 3.082 -0.183 -5.348 3.082 -0.183 0.000 -1.031 17.307" Properties=species:S:1:pos:R:3 pbc="T T T"
Y 0.000 0.685 11.462
Y -1.782 1.367 5.662
Y 0.000 2.912 14.221
Y -3.564 2.222 2.720
Y 0.000 4.450 5.479
Y 1.782 3.767 11.278
Y 1.782 1.367 5.662
Y 3.564 2.913 14.221
Y -1.782 3.767 11.278
Y 3.564 2.222 2.720
Y -3.564 2.913 14.221
Y 0.000 2.223 2.719
Ho -3.567 2.567 8.470
Ho 1.782 3.082 -0.183
Ho 3.567 2.567 8.470
Ho 0.000 2.567 8.470
Ho -1.782 3.082 -0.183
Mg 0.000 0.000 0.000
```

Calculated values
The calculation puts the energy of formation at 0.02 eV per atom. The value obtained for the calculated total energy is -5.6494 eV/atom. As for the space group: C2/m, No. 12. The value obtained for the density of states at the Fermi level is 1.57 states/eV per atom.